## Th6HgPb (GGA-PBE)

Data for a relaxed Th6HgPb crystal.

Output
raw total energy	-6.05	eV per atom
crystal system	triclinic
space-group type	No. 2
M_tot	0.0	μB/f.u.
Fermi-level density of states	10.377	states/eV per cell
E_form	1.7	kJ per mole of atoms

a = 6.3179 Å, b = 6.3216 Å, c = 6.3286 Å
α = 89.46°, β = 88.89°, γ = 89.47°
With the nearest neighbours (Å) after each atom.
Element x y z (fractional)
Th1 0.0039 0.2500 0.4983  2 Th 3.16, 1 Hg 3.52, 1 Pb 3.53
Th2 0.2499 0.4980 0.0089  2 Th 3.16, 1 Hg 3.51, 2 Pb 3.53-3.54
Th3 0.4942 0.0042 0.2506  2 Th 3.16-3.17, 1 Hg 3.52, 1 Pb 3.53
Th4 0.5058 0.9958 0.7494  2 Th 3.16-3.17, 1 Hg 3.52, 1 Pb 3.53
Th5 0.7501 0.5020 0.9911  2 Th 3.16, 1 Hg 3.51, 2 Pb 3.53-3.54
Th6 0.9961 0.7500 0.5017  2 Th 3.16, 1 Hg 3.52, 1 Pb 3.53
Hg1 0.5000 0.5000 0.5000  12 Th 3.51-3.56
Pb1 0.0000 0.0000 0.0000  12 Th 3.53-3.54

=====

## Nb2HPd (GGA-PBE)

Data for a relaxed Nb2HPd crystal.

Output
raw total energy	-6.93	eV per atom
distance to the lowest polymorph of the same formula	0.400	eV per atom
crystal system	trigonal
space-group type	No. 166
M_tot	0.0	μB/f.u.
Fermi-level density of states	3.046	states/eV per cell

a = 5.1566 Å, b = 5.1566 Å, c = 5.1566 Å
α = 43.59°, β = 43.59°, γ = 43.59°
With the nearest neighbours (Å) after each atom.
Element x y z (fractional)
Nb1 0.2247 0.2247 0.2247  3 H 2.35
Nb2 0.7753 0.7753 0.7753  3 H 2.35
H1 0.5000 0.5000 0.5000  6 Nb 2.35
Pd1 0.0000 0.0000 0.0000  6 Nb 2.68

=====

## CeEuO (GGA-PBE)

Data for a relaxed CeEuO crystal.

Output
raw total energy	-8.69	eV per atom
crystal system	trigonal
space-group type	No. 156
M_tot	6.6	μB/f.u.
Fermi-level density of states	5.727	states/eV per cell

a = 3.6308 Å, b = 3.6308 Å, c = 6.2169 Å
α = 90.00°, β = 90.00°, γ = 120.00°
With the nearest neighbours (Å) after each atom.
Element x y z (fractional)
Ce1 0.0000 0.0000 0.0000  3 O 2.44
Eu1 0.6667 0.3333 0.5482  3 O 2.61
O1 0.3333 0.6667 0.7996  3 Ce 2.44, 3 Eu 2.61

=====

What is the M_tot in the second record?
0.0 μB/f.u.